*one*
Here is crystalline YTmNi at its relaxed geometry from Alexandria via LeMat-Bulk. Energies are from PBE.

## Properties
Mass density (g cm⁻³): 6.7
Density of states at the Fermi level (states/eV/cell): 1.85

Cell lengths 3.9976, 3.9976, 5.6557 Å; angles 90.00, 90.00, 120.00 degrees
Space group P3m1 (No. 156)
Unique sites:
Y: 0.0000 0.0000 0.0000 (multiplicity 1)
Tm: 0.3333 0.6667 0.4857 (multiplicity 1)
Ni: 0.6667 0.3333 0.2536 (multiplicity 1)

*two*
Here is crystalline YTmNi at its relaxed geometry from Alexandria via LeMat-Bulk. Energies are from PBE.

## Properties
Mass density (g cm⁻³): 7.1
Density of states at the Fermi level (states/eV/cell): 12.11

Cell lengths 6.668, 6.668, 6.668 Å; angles 90.00, 90.00, 90.00 degrees
Space group F-43m (No. 216)
Unique sites:
Y: 0.000 0.000 0.000 (multiplicity 4)
Tm: 0.000 0.000 0.500 (multiplicity 4)
Ni: 0.250 0.250 0.250 (multiplicity 4)

Quick one: most stable of them? *two*

*one*
Here is crystalline YTmNi at its relaxed geometry from Alexandria via LeMat-Bulk. Energies are from PBE.

## Properties
Mass density (g cm⁻³): 7.2
Density of states at the Fermi level (states/eV/cell): 12.66

Cell lengths 13.303, 3.555, 6.611 Å; angles 90.00, 110.90, 90.00 degrees
Space group C2/m (No. 12)
Unique sites:
Y: 0.216 0.000 0.243 (multiplicity 4)
Tm: 0.022 0.500 0.759 (multiplicity 4)
Ni: 0.110 0.000 0.553 (multiplicity 4)

*two*
Here is crystalline YTmNi at its relaxed geometry from Alexandria via LeMat-Bulk. Energies are from PBE.

## Properties
Mass density (g cm⁻³): 7.4
Density of states at the Fermi level (states/eV/cell): 5.09

Cell lengths 3.385, 3.385, 12.353 Å; angles 90.00, 90.00, 90.00 degrees
Space group I4mm (No. 107)
Unique sites:
Y: 0.000 0.000 0.000 (multiplicity 2)
Tm: 0.000 0.000 0.263 (multiplicity 2)
Ni: 0.000 0.000 0.638 (multiplicity 2)

Quick one: most stable of them? *one*

*one*
Here is crystalline YTm3Ni2 at its relaxed geometry from Alexandria via LeMat-Bulk. Energies are from PBE.

## Properties
Mass density (g cm⁻³): 8.6
Density of states at the Fermi level (states/eV/cell): 21.73

Cell lengths 14.822, 4.985, 7.975 Å; angles 90.00, 111.37, 90.00 degrees
Space group C2/m (No. 12)
Unique sites:
Y: 0.144 0.000 0.231 (multiplicity 4)
Tm: 0.066 0.000 0.740 (multiplicity 4)
Tm: 0.126 0.500 0.508 (multiplicity 4)
Tm: 0.181 0.500 0.998 (multiplicity 4)
Ni: 0.011 0.500 0.157 (multiplicity 4)
Ni: 0.221 0.000 0.628 (multiplicity 4)

*two*
Here is crystalline YTm3Ni2 at its relaxed geometry from Alexandria via LeMat-Bulk. Energies are from PBE.

## Properties
Mass density (g cm⁻³): 8.2
Density of states at the Fermi level (states/eV/cell): 25.53

Cell lengths 15.829, 3.871, 11.237 Å; angles 90.00, 123.35, 90.00 degrees
Space group C2/m (No. 12)
Unique sites:
Y: 0.152 0.000 0.243 (multiplicity 4)
Tm: 0.082 0.500 0.442 (multiplicity 4)
Tm: 0.083 0.500 0.939 (multiplicity 4)
Tm: 0.154 0.000 0.746 (multiplicity 4)
Ni: 0.231 0.000 0.550 (multiplicity 4)
Ni: 0.232 0.000 0.050 (multiplicity 4)

Quick one: most stable of them? *two*

*one*
Here is crystalline YTmZnNi at its relaxed geometry from Alexandria via LeMat-Bulk. Energies are from PBE.

## Properties
Mass density (g cm⁻³): 7.7
Density of states at the Fermi level (states/eV/cell): 3.64

Cell lengths 3.445, 3.445, 6.941 Å; angles 90.00, 90.00, 90.00 degrees
Space group P4mm (No. 99)
Unique sites:
Y: 0.000 0.000 0.000 (multiplicity 1)
Tm: 0.000 0.000 0.531 (multiplicity 1)
Zn: 0.500 0.500 0.273 (multiplicity 1)
Ni: 0.500 0.500 0.753 (multiplicity 1)

*two*
Here is crystalline YTmZnNi at its relaxed geometry from Alexandria via LeMat-Bulk. Energies are from PBE.

## Properties
Mass density (g cm⁻³): 7.7
Density of states at the Fermi level (states/eV/cell): 11.21

Cell lengths 6.905, 6.905, 6.905 Å; angles 90.00, 90.00, 90.00 degrees
Space group F-43m (No. 216)
Unique sites:
Y: 0.000 0.000 0.000 (multiplicity 4)
Tm: 0.000 0.000 0.500 (multiplicity 4)
Zn: 0.250 0.250 0.250 (multiplicity 4)
Ni: 0.250 0.250 0.750 (multiplicity 4)

Quick one: most stable of them? *one*